A relaxed RbZr2S crystal, computed with PBE.

a = 5.3008 Å, b = 5.3008 Å, c = 18.6348 Å
α = 90.00°, β = 90.00°, γ = 90.00°
Space group I4_1/amd (No. 141, origin choice 2)
Unique sites:
Rb 0.0000 0.2500 0.3750 (multiplicity 4)
Zr 0.0000 0.0000 0.0000 (multiplicity 8)
S 0.0000 0.2500 0.8750 (multiplicity 4)

Its formation energy without anion corrections is 239.3 meV/atom.



A relaxed RbNbTeIr crystal, computed with PBE.

a = 4.3221 Å, b = 4.3221 Å, c = 22.5065 Å
α = 90.00°, β = 90.00°, γ = 120.00°
Space group R3m (No. 160, hexagonal axes)
Unique sites:
Rb 0.0000 0.0000 0.0000 (multiplicity 3)
Nb 0.0000 0.0000 0.4615 (multiplicity 3)
Te 0.0000 0.0000 0.2101 (multiplicity 3)
Ir 0.0000 0.0000 0.8195 (multiplicity 3)

Its energy above the most stable polymorph in this dataset is 0 meV/atom. Its formation energy without anion corrections is -105.3 meV/atom.



A relaxed Na2ThBiTe4 crystal, computed with PBE.

a = 7.9739 Å, b = 4.5284 Å, c = 7.9828 Å
α = 90.00°, β = 108.93°, γ = 90.00°
Space group P2/m (No. 10)
Unique sites:
Na 0.0000 0.0000 0.0000 (multiplicity 1)
Na 0.5000 0.5000 0.0000 (multiplicity 1)
Th 0.0000 0.5000 0.5000 (multiplicity 1)
Bi 0.5000 0.0000 0.5000 (multiplicity 1)
Te 0.2433 0.0000 0.7407 (multiplicity 2)
Te 0.2505 0.5000 0.2646 (multiplicity 2)

Its formation energy without anion corrections is -795.0 meV/atom.